Record 1
## Na2Sb4O11 (PBE-GGA)

Data for a geometry-optimized Na2Sb4O11 structure.

Results
The calculation puts the density at 4.24 Mg/m³. As for the volume: 16.346 Å³/atom. The value obtained for the energy relative to the elements, uncorrected is -1445.7 meV per atom. The energy above the lowest structure with this stoichiometry is 55 kJ/mol of formula units. The calculation puts the total magnetization at 0.0 μB/f.u.

Unit cell a=10.753 b=10.753 c=7.283 alpha=83.98 beta=83.98 gamma=41.62
Fractional coordinates of all 34 atoms:
Sb  0.576  0.576  0.379
Sb  0.424  0.424  0.621
Sb  0.932  0.417  0.556
Sb  0.417  0.932  0.556
Sb  0.068  0.583  0.444
Sb  0.583  0.068  0.444
Sb  0.431  0.431  0.103
Sb  0.569  0.569  0.897
O  0.478  0.478  0.346
O  0.567  0.177  0.195
O  0.383  0.383  0.877
O  0.334  0.845  0.428
O  0.177  0.567  0.195
O  0.446  0.034  0.332
O  0.668  0.668  0.477
O  0.844  0.844  0.363
O  0.666  0.155  0.572
O  0.156  0.156  0.637
O  0.845  0.334  0.428
O  0.522  0.522  0.654
O  0.617  0.617  0.123
O  0.325  0.675  0.000
O  0.433  0.823  0.805
O  0.034  0.446  0.332
O  0.966  0.554  0.668
O  0.155  0.666  0.572
O  0.823  0.433  0.805
O  0.675  0.325  0.000
O  0.554  0.966  0.668
O  0.332  0.332  0.523
Na  0.959  0.959  0.263
Na  0.731  0.731  0.913
Na  0.041  0.041  0.737
Na  0.269  0.269  0.087

=====

Record 2
## NaSbO (PBE-GGA)

Data for a geometry-optimized NaSbO structure.

Results
The calculation puts the density at 3.49 Mg/m³. As for the volume: 25.470 Å³/atom. The value obtained for the energy relative to the elements, uncorrected is -1003.5 meV per atom. The calculation puts the total magnetization at 0.0 μB/f.u.

Unit cell a=4.050 b=7.258 c=10.396 alpha=90.00 beta=90.00 gamma=90.00
Fractional coordinates of all 12 atoms:
Na  0.250  0.032  0.387
Na  0.250  0.532  0.113
Na  0.750  0.968  0.613
Na  0.750  0.468  0.887
Sb  0.750  0.937  0.091
Sb  0.750  0.437  0.409
Sb  0.250  0.563  0.591
Sb  0.250  0.063  0.909
O  0.250  0.329  0.944
O  0.750  0.171  0.444
O  0.250  0.829  0.556
O  0.750  0.671  0.056